This record from Alexandria via LeMat-Bulk describes crystalline U6Ta4Al43 at its relaxed geometry. The functional is PBE.

```
U6Ta4Al43
1.0
11.130 0.000 0.000
-5.565 9.639 0.000
0.000 0.000 17.535
U Ta Al
12 8 86
Direct
0.000 0.477 0.911
0.000 0.523 0.089
0.477 0.000 0.911
0.000 0.523 0.411
0.477 0.000 0.589
0.523 0.000 0.089
0.000 0.477 0.589
0.523 0.000 0.411
0.523 0.523 0.911
0.477 0.477 0.089
0.477 0.477 0.411
0.523 0.523 0.589
0.000 0.000 0.000
0.000 0.000 0.500
0.000 0.275 0.750
0.000 0.725 0.250
0.275 0.000 0.750
0.725 0.000 0.250
0.725 0.725 0.750
0.275 0.275 0.250
0.410 0.854 0.750
0.590 0.146 0.250
0.445 0.590 0.750
0.854 0.410 0.750
0.555 0.410 0.250
0.146 0.590 0.250
0.146 0.555 0.750
0.590 0.445 0.750
0.854 0.445 0.250
0.410 0.555 0.250
0.555 0.146 0.750
0.445 0.854 0.250
0.000 0.839 0.385
0.000 0.161 0.615
0.839 0.000 0.385
0.000 0.161 0.885
0.839 0.000 0.115
0.161 0.000 0.615
0.000 0.839 0.115
0.161 0.000 0.885
0.161 0.161 0.385
0.839 0.839 0.615
0.839 0.839 0.885
0.161 0.161 0.115
0.506 0.753 0.000
0.494 0.247 0.000
0.247 0.494 0.000
0.494 0.247 0.500
0.753 0.506 0.500
0.753 0.506 0.000
0.506 0.753 0.500
0.247 0.494 0.500
0.247 0.753 0.000
0.753 0.247 0.000
0.753 0.247 0.500
0.247 0.753 0.500
0.000 0.852 0.750
0.000 0.148 0.250
0.852 0.000 0.750
0.148 0.000 0.250
0.148 0.148 0.750
0.852 0.852 0.250
0.333 0.667 0.873
0.667 0.333 0.127
0.667 0.333 0.373
0.667 0.333 0.627
0.333 0.667 0.627
0.333 0.667 0.373
0.333 0.667 0.127
0.667 0.333 0.873
0.000 0.744 0.970
0.000 0.256 0.030
0.744 0.000 0.970
0.000 0.256 0.470
0.744 0.000 0.530
0.256 0.000 0.030
0.000 0.744 0.530
0.256 0.000 0.470
0.256 0.256 0.970
0.744 0.744 0.030
0.744 0.744 0.470
0.256 0.256 0.530
0.604 0.840 0.838
0.396 0.160 0.162
0.236 0.396 0.838
0.396 0.160 0.338
0.840 0.604 0.662
0.764 0.604 0.162
0.604 0.840 0.662
0.160 0.396 0.338
0.160 0.764 0.838
0.764 0.604 0.338
0.396 0.236 0.662
0.840 0.236 0.162
0.236 0.396 0.662
0.604 0.764 0.338
0.160 0.396 0.162
0.840 0.604 0.838
0.840 0.236 0.338
0.604 0.764 0.162
0.160 0.764 0.662
0.396 0.236 0.838
0.764 0.160 0.662
0.236 0.840 0.338
0.236 0.840 0.162
0.764 0.160 0.838
```

Values from the calculation:
Its formation energy is -0.185 eV/atom. The total magnetic moment comes out at 30.9 μB per cell. As for the space group: No. 193. As for the crystal system: hexagonal.